1.
! PBE CePmPr6Tm2, relaxed; values from VASP
&SYSTEM
  ibrav = 0, nat = 10, ntyp = 4
/
ATOMIC_SPECIES
Ce 140.12 Ce.upf
Pm 145.00 Pm.upf
Pr 140.91 Pr.upf
Tm 168.93 Tm.upf
ATOMIC_POSITIONS crystal
Ce 0.000 0.000 0.000
Pm 0.500 0.500 0.500
Pr 0.098 0.565 0.201
Pr 0.133 0.133 0.422
Pr 0.435 0.902 0.799
Pr 0.565 0.098 0.201
Pr 0.867 0.867 0.578
Pr 0.902 0.435 0.799
Tm 0.406 0.406 0.844
Tm 0.594 0.594 0.156
CELL_PARAMETERS angstrom
5.641 -3.550 0.000
5.641 3.550 0.000
-1.869 0.000 8.737
! Density ... 6.97 g/cm³
! Formation energy ... 0.23 eV per atom
! Space-group type ... C2/m (12)
! Total energy ... -46.00 eV for the cell shown

2.
! PBE CePm2Pr6Tm, relaxed; values from VASP
&SYSTEM
  ibrav = 0, nat = 10, ntyp = 4
/
ATOMIC_SPECIES
Ce 140.12 Ce.upf
Pm 145.00 Pm.upf
Pr 140.91 Pr.upf
Tm 168.93 Tm.upf
ATOMIC_POSITIONS crystal
Ce 0.000 0.000 0.000
Pm 0.412 0.412 0.832
Pm 0.588 0.588 0.168
Pr 0.087 0.558 0.205
Pr 0.122 0.122 0.414
Pr 0.442 0.913 0.795
Pr 0.558 0.087 0.205
Pr 0.878 0.878 0.586
Pr 0.913 0.442 0.795
Tm 0.500 0.500 0.500
CELL_PARAMETERS angstrom
5.750 -3.552 0.000
5.750 3.552 0.000
-2.329 0.000 8.657
! Density ... 6.78 g/cm³
! Formation energy ... 0.23 eV per atom
! Space-group type ... C2/m (12)
! Total energy ... -46.33 eV for the cell shown

3.
! PBE CePmPr2Y5, relaxed; values from VASP
&SYSTEM
  ibrav = 0, nat = 18, ntyp = 4
/
ATOMIC_SPECIES
Ce 140.12 Ce.upf
Pm 145.00 Pm.upf
Pr 140.91 Pr.upf
Y 88.91 Y.upf
ATOMIC_POSITIONS crystal
Ce 0.250 0.750 0.500
Ce 0.750 0.250 0.500
Pm 0.250 0.250 0.000
Pm 0.750 0.750 0.000
Pr 0.120 0.620 0.740
Pr 0.380 0.120 0.500
Pr 0.620 0.880 0.500
Pr 0.880 0.380 0.260
Y 0.000 0.000 0.000
Y 0.064 0.157 0.500
Y 0.157 0.657 0.092
Y 0.343 0.436 0.500
Y 0.436 0.936 0.092
Y 0.500 0.500 0.000
Y 0.564 0.064 0.908
Y 0.657 0.564 0.500
Y 0.843 0.343 0.908
Y 0.936 0.843 0.500
CELL_PARAMETERS angstrom
-4.359 4.359 7.871
4.359 -4.359 7.871
4.359 4.359 -7.871
! Density ... 5.61 g/cm³
! Formation energy ... 0.25 eV per atom
! Space-group type ... I4/mcm (140)
! Total energy ... -100.56 eV for the cell shown